Density functional theory data (GGA-PBE) for Te3Pb4 after structural relaxation.

CIF file:
```
data_Te3Pb4
_chemical_formula_sum 'Te3 Pb4'
_symmetry_space_group_name_H-M 'P 1'
_symmetry_Int_Tables_number 1
_symmetry_space_group_name_Hall 'P 1'
_cell_length_a 6.331
_cell_length_b 6.331
_cell_length_c 6.494
_cell_angle_alpha 90.00
_cell_angle_beta 90.00
_cell_angle_gamma 120.00
loop_
_atom_site_label
_atom_site_fract_x
_atom_site_fract_y
_atom_site_fract_z
Pb1 0.333 0.667 0.500
Pb2 0.000 0.000 0.258
Pb3 0.667 0.333 0.500
Pb4 0.000 0.000 0.742
Te1 0.000 0.500 0.000
Te2 0.500 0.000 0.000
Te3 0.500 0.500 0.000
```

- E above lowest polymorph: 0.2985 eV/atom
- E_tot: -3.33 eV per atom
- Formation energy (no corrections): 0.134 eV/atom